DFT (PBE) results for a relaxed structure of ThZn12Cu4.

a b c (Å): 8.526 8.526 8.526
angles (deg): 90.00 90.00 90.00
Space group Im-3 (No. 204)
Unique sites:
Th 0.000 0.000 0.000
Zn 0.000 0.158 0.351
Cu 0.250 0.250 0.250

## Properties
Energy relative to the elements   0.18 eV/atom
Total DFT energy (no corrections)   -2.122 eV/atom


DFT (PBE) results for a relaxed structure of Sm2Al4GaIr3.

a b c (Å): 4.125 4.125 10.997
angles (deg): 90.00 90.00 90.00
Space group P-4m2 (No. 115)
Unique sites:
Sm 0.000 0.500 0.245
Al 0.000 0.000 0.000
Al 0.000 0.500 0.637
Al 0.500 0.500 0.000
Ga 0.000 0.000 0.500
Ir 0.000 0.500 0.866
Ir 0.500 0.500 0.500

## Properties
Energy relative to the elements   -0.76 eV/atom
Total DFT energy (no corrections)   -6.162 eV/atom


DFT (PBE) results for a relaxed structure of Tm3SeI7.

a b c (Å): 8.5632 8.5632 7.7225
angles (deg): 90.00 90.00 120.00
Space group P3m1 (No. 156)
Unique sites:
Tm 0.0178 0.5089 0.0000
Se 0.3333 0.6667 0.1856
I 0.1683 0.3367 0.7633
I 0.3387 0.1694 0.2143
I 0.6667 0.3333 0.7667

## Properties
Total DFT energy (no corrections)   -3.959 eV/atom
E_form (uncorrected)   -1.44 eV/atom


DFT (PBE) results for a relaxed structure of NiTeCl.

a b c (Å): 6.588 6.588 6.588
angles (deg): 90.00 90.00 90.00
Space group F-43m (No. 216)
Unique sites:
Ni 0.000 0.000 0.000
Te 0.250 0.250 0.750
Cl 0.000 0.000 0.500

## Properties
Total DFT energy (no corrections)   -3.012 eV/atom
E_form (uncorrected)   0.58 eV/atom


DFT (PBE) results for a relaxed structure of FeRh3Pb.

a b c (Å): 4.550 4.550 4.550
angles (deg): 90.00 90.00 90.00
Space group Pm-3m (No. 221)
Unique sites:
Fe 0.000 0.000 0.000
Rh 0.000 0.000 0.500
Pb 0.500 0.500 0.500

## Properties
Energy relative to the elements   0.71 eV/atom
Total DFT energy (no corrections)   -6.136 eV/atom
Excess energy over the best structure of this formula in the dataset   0.0000 eV/atom


DFT (PBE) results for a relaxed structure of CsHfSb2Te.

a b c (Å): 5.947 5.947 5.940
angles (deg): 90.00 90.00 90.00
Space group P4/mmm (No. 123)
Unique sites:
Cs 0.000 0.000 0.000
Hf 0.500 0.500 0.500
Sb 0.000 0.500 0.000
Te 0.000 0.000 0.500

## Properties
Total DFT energy (no corrections)   -2.631 eV/atom
E_form (uncorrected)   1.81 eV/atom
Excess energy over the best structure of this formula in the dataset   2.1348 eV/atom